No. 1
RbMnPdCl6: relaxed, GGA-PBE.

Unit cell a=7.0053 b=7.9887 c=7.4769 alpha=104.39 beta=89.63 gamma=47.09
Closest atoms and distances in Å follow each position.
Atoms (fractional coordinates):
Cl 0.1573 0.3207 0.2861  1 Pd 2.33, 1 Mn 2.34
Cl 0.2614 0.0178 0.6007  1 Pd 2.32, 1 Mn 2.50
Cl 0.4013 0.3657 0.8411  1 Mn 2.22
Cl 0.7182 0.0629 0.3989  1 Mn 2.21
Cl 0.5829 0.6133 0.1566  1 Pd 2.30
Cl 0.8563 0.6634 0.7142  1 Mn 2.34, 1 Pd 2.35
Pd 0.7026 0.6604 0.4367  4 Cl 2.30-2.35
Rb 0.0155 0.0005 0.9981  7 Cl 3.37-3.62
Mn 0.3042 0.2954 0.5674  4 Cl 2.21-2.34

total energy: -35.65 eV for the cell shown
V: 31.957 Å³ per atom
total magnetic moment: 3.889 μB per cell
uncorrected formation energy: -99.1 kJ/mol of atoms
crystal system: triclinic

No. 2
RbMnPdCl2: relaxed, GGA-PBE.

Unit cell a=5.4080 b=4.8491 c=5.4080 alpha=90.00 beta=90.00 gamma=90.00
Closest atoms and distances in Å follow each position.
Atoms (fractional coordinates):
Cl 0.0000 0.0000 0.5000  2 Pd 2.70
Cl 0.5000 0.0000 0.0000  2 Pd 2.70
Rb 0.5000 0.5000 0.5000  8 Cl 3.63, 4 Mn 3.82
Pd 0.0000 0.0000 0.0000  2 Mn 2.42, 4 Cl 2.70
Mn 0.0000 0.5000 0.0000  2 Pd 2.42

total energy: -20.81 eV for the cell shown
excess energy over the best structure of this formula in the dataset: 220 meV per atom
V: 28.364 Å³ per atom
total magnetic moment: 5.287 μB per cell
uncorrected formation energy: -34.5 kJ/mol of atoms
crystal system: tetragonal

No. 3
Rb2MnPdCl6: relaxed, GGA-PBE.

Unit cell a=7.1131 b=7.1131 c=7.1134 alpha=60.00 beta=60.00 gamma=90.00
Closest atoms and distances in Å follow each position.
Atoms (fractional coordinates):
Cl 0.7436 0.7436 0.5127  1 Mn 2.45, 1 Pd 2.58
Cl 0.7441 0.2559 0.0000  1 Mn 2.46, 1 Pd 2.57
Cl 0.2559 0.2559 0.0000  1 Mn 2.46, 1 Pd 2.57
Cl 0.2559 0.7441 0.0000  1 Mn 2.46, 1 Pd 2.57
Cl 0.2564 0.2564 0.4873  1 Mn 2.45, 1 Pd 2.58
Cl 0.7441 0.7441 0.0000  1 Mn 2.46, 1 Pd 2.57
Pd 0.0000 0.0000 0.0000  6 Cl 2.57-2.58
Rb 0.7500 0.2500 0.5000  12 Cl 3.56
Rb 0.2500 0.7500 0.5000  12 Cl 3.56
Mn 0.5000 0.5000 0.0000  6 Cl 2.45-2.46

total energy: -39.93 eV for the cell shown
V: 25.451 Å³ per atom
total magnetic moment: 3.000 μB per cell
uncorrected formation energy: -121.1 kJ/mol of atoms
crystal system: cubic

No. 4
MnRePd2Cl: relaxed, GGA-PBE.

Unit cell a=4.5159 b=4.2506 c=4.5159 alpha=90.00 beta=90.00 gamma=90.00
Closest atoms and distances in Å follow each position.
Atoms (fractional coordinates):
Pd 0.5000 0.0000 0.0000  2 Cl 2.26
Pd 0.0000 0.0000 0.5000  2 Cl 2.26
Re 0.5000 0.5000 0.5000  8 Pd 3.10, 4 Mn 3.19
Cl 0.0000 0.0000 0.0000  2 Mn 2.13, 4 Pd 2.26
Mn 0.0000 0.5000 0.0000  2 Cl 2.13

total energy: -27.79 eV for the cell shown
V: 17.337 Å³ per atom
total magnetic moment: 6.718 μB per cell
uncorrected formation energy: 117.0 kJ/mol of atoms
crystal system: tetragonal

No. 5
Sc2MnPdCl: relaxed, GGA-PBE.

Unit cell a=4.7842 b=3.9702 c=4.7842 alpha=90.00 beta=90.00 gamma=90.00
Closest atoms and distances in Å follow each position.
Atoms (fractional coordinates):
Pd 0.5000 0.5000 0.5000  8 Sc 3.11, 4 Mn 3.38
Mn 0.0000 0.5000 0.0000  2 Cl 1.99
Sc 0.5000 0.0000 0.0000  2 Cl 2.39
Sc 0.0000 0.0000 0.5000  2 Cl 2.39
Cl 0.0000 0.0000 0.0000  2 Mn 1.99

total energy: -29.53 eV for the cell shown
V: 18.174 Å³ per atom
total magnetic moment: 0.001 μB per cell
uncorrected formation energy: -12.7 kJ/mol of atoms
crystal system: tetragonal

No. 6
MnTl2PdCl6: relaxed, GGA-PBE.

Unit cell a=7.0949 b=7.0949 c=12.6647 alpha=73.73 beta=73.73 gamma=60.00
Closest atoms and distances in Å follow each position.
Atoms (fractional coordinates):
Pd 0.5000 0.5000 0.5000  6 Cl 2.54
Pd 0.0000 0.0000 0.0000  6 Cl 2.56
Mn 0.4137 0.4137 0.7588  6 Cl 2.45-2.50
Mn 0.5863 0.5863 0.2412  6 Cl 2.45-2.50
Cl 0.2979 0.7889 0.1242  1 Mn 2.45, 1 Pd 2.56
Cl 0.1334 0.6173 0.6320  1 Mn 2.50, 1 Pd 2.54
Cl 0.3827 0.3827 0.3680  1 Mn 2.50, 1 Pd 2.54
Cl 0.6173 0.1334 0.6320  1 Mn 2.50, 1 Pd 2.54
Cl 0.7889 0.7889 0.1242  1 Mn 2.45, 1 Pd 2.56
Cl 0.2111 0.2111 0.8758  1 Mn 2.45, 1 Pd 2.56
Cl 0.2111 0.7021 0.8758  1 Mn 2.45, 1 Pd 2.56
Cl 0.7889 0.2979 0.1242  1 Mn 2.45, 1 Pd 2.56
Cl 0.8666 0.3827 0.3680  1 Mn 2.50, 1 Pd 2.54
Cl 0.6173 0.6173 0.6320  1 Mn 2.50, 1 Pd 2.54
Cl 0.7021 0.2111 0.8758  1 Mn 2.45, 1 Pd 2.56
Cl 0.3827 0.8666 0.3680  1 Mn 2.50, 1 Pd 2.54
Tl 0.2972 0.2972 0.1085  12 Cl 3.44-3.76
Tl 0.8821 0.8821 0.3538  9 Cl 3.45-3.55
Tl 0.1179 0.1179 0.6462  9 Cl 3.45-3.55
Tl 0.7028 0.7028 0.8915  12 Cl 3.44-3.76

total energy: -77.30 eV for the cell shown
V: 26.121 Å³ per atom
total magnetic moment: 10.059 μB per cell
uncorrected formation energy: -81.8 kJ/mol of atoms
crystal system: trigonal

No. 7
Mn2Tl3PdCl9: relaxed, GGA-PBE.

Unit cell a=7.0791 b=7.0791 c=8.6743 alpha=90.00 beta=90.00 gamma=120.00
Closest atoms and distances in Å follow each position.
Atoms (fractional coordinates):
Tl 0.6667 0.3333 0.3372  12 Cl 3.53-3.57
Tl 0.3333 0.6667 0.6628  12 Cl 3.53-3.57
Tl 0.0000 0.0000 0.0000  12 Cl 3.53-3.54
Cl 0.5000 0.0000 0.0000  2 Mn 2.52
Cl 0.8303 0.6606 0.6714  1 Mn 2.43, 1 Pd 2.56
Cl 0.5000 0.5000 0.0000  2 Mn 2.52
Cl 0.3394 0.1697 0.6714  1 Mn 2.43, 1 Pd 2.56
Cl 0.1697 0.8303 0.3286  1 Mn 2.43, 1 Pd 2.56
Cl 0.6606 0.8303 0.3286  1 Mn 2.43, 1 Pd 2.56
Cl 0.8303 0.1697 0.6714  1 Mn 2.43, 1 Pd 2.56
Cl 0.1697 0.3394 0.3286  1 Mn 2.43, 1 Pd 2.56
Cl 0.0000 0.5000 0.0000  2 Mn 2.52
Mn 0.6667 0.3333 0.8291  6 Cl 2.43-2.52
Mn 0.3333 0.6667 0.1709  6 Cl 2.43-2.52
Pd 0.0000 0.0000 0.5000  6 Cl 2.56

total energy: -61.11 eV for the cell shown
V: 25.098 Å³ per atom
total magnetic moment: 8.000 μB per cell
uncorrected formation energy: -89.2 kJ/mol of atoms
crystal system: trigonal

No. 8
Pm7MnCl12: relaxed, GGA-PBE.

Unit cell a=10.3436 b=9.1384 c=9.1384 alpha=106.65 beta=112.17 gamma=112.17
Closest atoms and distances in Å follow each position.
Atoms (fractional coordinates):
Pm 0.9839 0.0900 0.2943  1 Mn 2.67, 4 Cl 2.81-2.97
Pm 0.1061 0.7958 0.0900  1 Mn 2.67, 4 Cl 2.81-2.97
Pm 0.0161 0.9100 0.7057  1 Mn 2.67, 4 Cl 2.81-2.97
Pm 0.6897 0.7057 0.7958  1 Mn 2.67, 4 Cl 2.81-2.97
Pm 0.8939 0.2042 0.9100  1 Mn 2.67, 4 Cl 2.81-2.97
Pm 0.3103 0.2943 0.2042  1 Mn 2.67, 4 Cl 2.81-2.97
Pm 0.5000 0.0000 0.0000  6 Cl 2.74
Cl 0.5421 0.9172 0.7150  3 Pm 2.74-2.97
Cl 0.6249 0.7978 0.0828  3 Pm 2.74-2.97
Cl 0.0782 0.8664 0.3948  3 Pm 2.81-3.09
Cl 0.7882 0.4717 0.8664  3 Pm 2.81-3.09
Cl 0.3165 0.3948 0.5283  3 Pm 2.81-3.09
Cl 0.2118 0.5283 0.1336  3 Pm 2.81-3.09
Cl 0.4579 0.0828 0.2850  3 Pm 2.74-2.97
Cl 0.1729 0.7150 0.7978  3 Pm 2.74-2.97
Cl 0.6835 0.6052 0.4717  3 Pm 2.81-3.09
Cl 0.3751 0.2022 0.9172  3 Pm 2.74-2.97
Cl 0.8271 0.2850 0.2022  3 Pm 2.74-2.97
Cl 0.9218 0.1336 0.6052  3 Pm 2.81-3.09
Mn 0.0000 0.0000 0.0000  6 Pm 2.67

total energy: -100.99 eV for the cell shown
V: 32.079 Å³ per atom
total magnetic moment: 2.060 μB per cell
uncorrected formation energy: -175.6 kJ/mol of atoms
crystal system: trigonal